No. 1
The following is a DFT calculation (meta-GGA SCAN) of a crystal of TaTi2AgW relaxed with PBEsol.

## Properties
space-group type = P4/mmm, No. 123

The structure in extended XYZ format:
```
5
Lattice="4.533 0.000 0.000 0.000 4.533 0.000 0.000 0.000 4.943" Properties=species:S:1:pos:R:3 pbc="T T T"
Ag 0.000 0.000 0.000
Ti 0.000 2.266 0.000
Ti 2.266 0.000 0.000
Ta 0.000 0.000 2.472
W 2.266 2.266 2.472
```



No. 2
The following is a DFT calculation (meta-GGA SCAN) of a crystal of TaTl2Ag relaxed with PBEsol.

## Properties
space-group type = C2/m, No. 12
ΔE to the lowest computed polymorph = 0.000 eV per atom

The structure in extended XYZ format:
```
4
Lattice="-0.273 2.816 -1.083 -4.536 -2.190 -0.312 -0.106 2.043 5.337" Properties=species:S:1:pos:R:3 pbc="T T T"
Ag -0.053 1.021 2.668
Tl -2.397 0.109 0.889
Tl -2.519 2.560 3.053
Ta -0.137 1.408 -0.542
```



No. 3
The following is a DFT calculation (meta-GGA SCAN) of a crystal of TaTl2Ag relaxed with PBEsol.

## Properties
space-group type = I4/mmm, No. 139
ΔE to the lowest computed polymorph = 0.185 eV per atom

The structure in extended XYZ format:
```
4
Lattice="-2.310 3.500 -0.816 -0.002 -0.972 -4.161 -2.572 -3.598 3.035" Properties=species:S:1:pos:R:3 pbc="T T T"
Tl -3.019 0.583 -0.135
Tl -1.865 -1.653 -1.807
Ta 0.000 0.000 0.000
Ag -1.156 1.264 -2.488
```



| no. | ΔE_f (eV per atom) |
| --- | --- |
| 1 | 1.81 |
| 2 | 0.59 |
| 3 | 0.78 |